Entry 1:
# Cs3IO4

Cs3IO4 after structural relaxation (PBE-GGA, the Alexandria database).

```
16
Lattice="9.1334 0.0000 0.0000 0.0000 7.9601 0.0000 0.0000 0.0000 6.3821" Properties=species:S:1:pos:R:3 pbc="T T T"
Cs 0.0000 1.1329 0.0000
Cs 2.2133 2.5754 3.1798
Cs 2.3534 5.3846 6.3709
Cs 4.5667 6.8272 3.1911
Cs 6.7800 5.3846 6.3709
Cs 6.9201 2.5754 3.1798
I 0.0000 6.5329 3.1536
I 4.5667 1.4272 6.3446
O 0.0000 0.5361 3.1014
O 0.0000 6.4909 1.2826
O 1.7086 5.5660 3.1606
O 2.8581 2.3941 6.3516
O 4.5667 1.4692 4.4736
O 4.5667 7.4240 6.2924
O 6.2753 2.3941 6.3516
O 7.4248 5.5660 3.1606
```

Output
symmetry: Pmn2_1, No. 31
E_form (uncorrected): -1103 meV per atom
D(E_F): 0.0 states/eV/f.u.
energy relative to the lowest polymorph listed for this composition: 18 meV per atom

=====

Entry 2:
# KAg2Os

KAg2Os after structural relaxation (PBE-GGA, the Alexandria database).

```
4
Lattice="2.6822 0.0000 0.0000 0.0000 4.6425 0.0000 0.0000 0.0000 7.3343" Properties=species:S:1:pos:R:3 pbc="T T T"
K 0.0000 0.0000 0.0000
Ag 0.0000 0.0000 3.1971
Ag 1.3411 2.3212 5.0958
Os 1.3411 2.3212 2.4137
```

Output
formation energy from the elements: 3.39 eV/f.u.
symmetry: Pmm2, No. 25
D(E_F): 3.5 states/eV/f.u.
energy relative to the lowest polymorph listed for this composition: 118 meV per atom

=====

Entry 3:
# BaPtSe

BaPtSe after structural relaxation (PBE-GGA, the Alexandria database).

```
6
Lattice="4.6751 0.0000 0.0000 0.0000 5.4806 0.0000 -2.3203 0.0000 7.2569" Properties=species:S:1:pos:R:3 pbc="T T T"
Ba -0.0012 1.3701 1.8991
Ba 2.3561 4.1104 5.3578
Pt 2.3376 0.0000 0.0000
Pt 2.3376 2.7403 0.0000
Se 0.0235 1.3701 5.1817
Se 2.3314 4.1104 2.0752
```

Output
symmetry: P2_1/m, No. 11
E_form (uncorrected): -1197 meV per atom
D(E_F): 0.3 states/eV/f.u.

=====

Entry 4:
# Ce3PuTh2S6

Ce3PuTh2S6 after structural relaxation (PBE-GGA, the Alexandria database).

```
12
Lattice="3.4732 -6.0099 0.0000 3.4732 6.0099 0.0000 -2.3060 0.0000 6.5808" Properties=species:S:1:pos:R:3 pbc="T T T"
Ce 0.0000 0.0000 0.0000
Ce 3.4732 2.0173 0.0000
Ce 3.4732 -2.0173 0.0000
Pu 2.3202 0.0000 3.2904
Th 2.3202 4.0088 3.2904
Th 2.3202 -4.0088 3.2904
S 1.1774 1.9753 1.6518
S 0.0405 0.0000 4.9375
S 1.1774 -1.9753 1.6518
S 3.4631 1.9753 4.9290
S 4.6000 0.0000 1.6433
S 3.4631 -1.9753 4.9290
```

Output
symmetry: C2/m, No. 12
E_form (uncorrected): -1944 meV per atom
D(E_F): 17.4 states/eV/f.u.

=====

Entry 5:
# V2Cu3Pd4

V2Cu3Pd4 after structural relaxation (PBE-GGA, the Alexandria database).

```
9
Lattice="4.2040 -1.8890 0.0000 4.2040 1.8890 0.0000 -2.2253 0.0000 7.7851" Properties=species:S:1:pos:R:3 pbc="T T T"
V 0.9347 0.0000 1.7595
V 5.2479 0.0000 6.0256
Cu 0.1871 0.0000 4.3006
Cu 4.2040 0.0000 0.0000
Cu 5.9956 0.0000 3.4845
Pd -0.5834 0.0000 6.9220
Pd 2.6478 0.0000 5.2041
Pd 3.5348 0.0000 2.5811
Pd 6.7660 0.0000 0.8631
```

Output
formation energy from the elements: -1.38 eV/f.u.
symmetry: C2/m, No. 12
D(E_F): 4.1 states/eV/f.u.

=====

Entry 6:
# Hf3Zr2TiN6

Hf3Zr2TiN6 after structural relaxation (PBE-GGA, the Alexandria database).

```
12
Lattice="6.9724 -1.6010 0.0000 6.9724 1.6010 0.0000 -1.4841 0.0000 6.2484" Properties=species:S:1:pos:R:3 pbc="T T T"
Hf 0.0000 0.0000 0.0000
Hf 3.6951 0.0000 4.1533
Hf 8.7657 0.0000 2.0951
Zr 4.4264 0.0000 1.0672
Zr 8.0343 0.0000 5.1812
Ti -0.7421 0.0000 3.1242
N 2.1554 0.0000 0.5653
N 1.4594 0.0000 3.5911
N 5.8253 0.0000 4.6704
N 6.6355 0.0000 1.5780
N 11.0014 0.0000 2.6573
N 10.3054 0.0000 5.6830
```

Output
symmetry: C2/m, No. 12
E_form (uncorrected): -1714 meV per atom
D(E_F): 3.9 states/eV/f.u.

=====

Entry 7:
# Mg3SeN

Mg3SeN after structural relaxation (PBE-GGA, the Alexandria database).

```
5
Lattice="4.8952 0.0000 0.0000 0.0000 4.8952 0.0000 0.0000 0.0000 4.8952" Properties=species:S:1:pos:R:3 pbc="T T T"
Mg 0.0000 0.0000 2.4476
Mg 0.0000 2.4476 0.0000
Mg 2.4476 0.0000 0.0000
Se 0.0000 0.0000 0.0000
N 2.4476 2.4476 2.4476
```

Output
symmetry: Pm-3m, No. 221
E_form (uncorrected): 864 meV per atom
D(E_F): 3.0 states/eV/f.u.
energy relative to the lowest polymorph listed for this composition: 1503 meV per atom

=====

Entry 8:
# CsNa2MnI6

CsNa2MnI6 after structural relaxation (PBE-GGA, the Alexandria database).

```
10
Lattice="7.8601 0.0000 0.0000 2.0039 7.7861 0.0000 3.3196 1.4223 7.3543" Properties=species:S:1:pos:R:3 pbc="T T T"
Cs 0.0000 0.0000 0.0000
Na 3.6950 1.4595 2.6493
Na 9.4268 6.3739 6.7069
Mn 4.6452 5.4097 4.4401
I 4.5995 5.3074 7.1650
I 6.9101 6.8603 4.5313
I 5.7597 3.8423 2.5243
I 7.2854 1.5828 7.2976
I 10.2840 3.9058 4.3781
I 11.0386 7.6228 3.7593
```

Output
symmetry: P1, No. 1
E_form (uncorrected): -912 meV per atom

=====

Entry 9:
# TaAl3

TaAl3 after structural relaxation (PBE-GGA, the Alexandria database).

```
8
Lattice="5.1223 0.0000 0.0000 0.0000 5.1223 0.0000 0.0000 0.0000 5.1223" Properties=species:S:1:pos:R:3 pbc="T T T"
Ta 0.0000 0.0000 0.0000
Ta 2.5611 2.5611 2.5611
Al 0.0000 1.2806 2.5611
Al 0.0000 3.8417 2.5611
Al 1.2806 2.5611 0.0000
Al 2.5611 0.0000 1.2806
Al 2.5611 0.0000 3.8417
Al 3.8417 2.5611 0.0000
```

Output
formation energy from the elements: -0.08 eV/f.u.
symmetry: Pm-3n, No. 223
D(E_F): 1.3 states/eV/f.u.

=====

Entry 10:
# KMg

KMg after structural relaxation (PBE-GGA, the Alexandria database).

```
4
Lattice="-2.0874 3.2353 6.3411 2.0874 -3.2353 6.3411 2.0874 3.2353 -6.3411" Properties=species:S:1:pos:R:3 pbc="T T T"
K 0.0000 1.6176 1.3111
K 2.0874 1.6176 5.0301
Mg 2.0874 1.6176 -2.0638
Mg 0.0000 1.6176 8.4049
```

Output
formation energy from the elements: 0.39 eV/f.u.
symmetry: Imma, No. 74
D(E_F): 1.2 states/eV/f.u.

=====

Entry 11:
# Nd2Dy6ErMg

Nd2Dy6ErMg after structural relaxation (PBE-GGA, the Alexandria database).

```
20
Lattice="4.9402 -9.8305 0.0000 4.9402 9.8305 0.0000 -1.0202 0.0000 6.5364" Properties=species:S:1:pos:R:3 pbc="T T T"
Nd 1.7981 1.6178 3.2509
Nd 1.2880 -1.6178 6.5191
Nd 7.5722 1.6178 0.0173
Nd 7.0621 -1.6178 3.2855
Dy 0.1592 1.6925 6.4256
Dy 2.9118 5.1462 1.8129
Dy 0.6693 -1.6925 3.1574
Dy 3.3750 2.8969 6.3572
Dy 4.9751 2.8969 3.4474
Dy 6.4585 5.1462 1.4553
Dy 2.4017 -5.1462 5.0811
Dy 3.8851 -2.8969 3.0890
Dy 5.4852 -2.8969 0.1792
Dy 8.1909 1.6925 3.3789
Dy 5.9484 -5.1462 4.7235
Dy 8.7010 -1.6925 0.1107
Er 4.6851 0.1332 1.6341
Er 4.1750 -0.1332 4.9023
Mg 4.1750 5.7740 4.9023
Mg 4.6851 -5.7740 1.6341
```

Output
formation energy from the elements: 1.03 eV/f.u.
symmetry: C2/c, No. 15
D(E_F): 14.6 states/eV/f.u.

=====

Entry 12:
# Sm4ScGa5

Sm4ScGa5 after structural relaxation (PBE-GGA, the Alexandria database).

```
10
Lattice="3.5658 0.0000 0.0000 0.0000 3.5658 0.0000 0.0000 0.0000 18.2240" Properties=species:S:1:pos:R:3 pbc="T T T"
Sm 0.0000 0.0000 1.8950
Sm 0.0000 0.0000 5.6736
Sm 0.0000 0.0000 12.5504
Sm 0.0000 0.0000 16.3290
Sc 0.0000 0.0000 9.1120
Ga 1.7829 1.7829 0.0000
Ga 1.7829 1.7829 3.7938
Ga 1.7829 1.7829 7.6137
Ga 1.7829 1.7829 10.6103
Ga 1.7829 1.7829 14.4301
```

Output
formation energy from the elements: -5.75 eV/f.u.
symmetry: P4/mmm, No. 123
D(E_F): 3.6 states/eV/f.u.

=====

no.,electronic total energy (eV per atom)
1,-4.10
2,-3.66
3,-5.01
4,-7.92
5,-5.85
6,-10.45
7,-2.45
8,-3.11
9,-5.79
10,-1.15
11,-4.23
12,-4.61